1.
A plane-wave DFT calculation with GGA-PBE was carried out for a relaxed structure of CsTe2Au2S6.

Cell and atoms, written as CIF:
```
data_CsTe2Au2S6
_chemical_formula_sum 'Cs1 Te2 Au2 S6'
_space_group_name_H-M_alt 'P -1'
_space_group_IT_number 2
_cell_length_a 6.2045
_cell_length_b 7.5737
_cell_length_c 8.4175
_cell_angle_alpha 84.15
_cell_angle_beta 84.05
_cell_angle_gamma 72.46
loop_
_space_group_symop_operation_xyz
'x,y,z'
'-x,-y,-z'
loop_
_atom_site_label
_atom_site_type_symbol
_atom_site_fract_x
_atom_site_fract_y
_atom_site_fract_z
Cs1 Cs 0.0000 0.0000 0.0000
Te1 Te 0.3071 0.3666 0.3593
Au1 Au 0.2226 0.4280 0.9058
S1 S 0.0981 0.5835 0.6621
S2 S 0.3737 0.6542 0.2824
S3 S 0.4105 0.2181 0.1092
```

## Properties
energy relative to the elements, uncorrected = -0.136 eV/atom
VASP energy = -3.63 eV/atom

***

2.
A plane-wave DFT calculation with GGA-PBE was carried out for a relaxed structure of LiCeHoPb.

Cell and atoms, written as CIF:
```
data_LiCeHoPb
_chemical_formula_sum 'Li4 Ce4 Ho4 Pb4'
_space_group_name_H-M_alt 'F -4 3 m'
_space_group_IT_number 216
_space_group_name_Hall 'F -4 2 3'
_cell_length_a 7.5882
_cell_length_b 7.5882
_cell_length_c 7.5882
_cell_angle_alpha 90.00
_cell_angle_beta 90.00
_cell_angle_gamma 90.00
loop_
_atom_site_label
_atom_site_type_symbol
_atom_site_fract_x
_atom_site_fract_y
_atom_site_fract_z
Li1 Li 0.0000 0.0000 0.0000
Ce1 Ce 0.2500 0.2500 0.7500
Ho1 Ho 0.2500 0.2500 0.2500
Pb1 Pb 0.0000 0.0000 0.5000
```

## Properties
formation energy from the elements = -0.70 eV per formula unit
VASP energy = -4.21 eV/atom

***

3.
A plane-wave DFT calculation with GGA-PBE was carried out for a relaxed structure of CsLiLa3.

Cell and atoms, written as CIF:
```
data_CsLiLa3
_chemical_formula_sum 'Cs1 Li1 La3'
_space_group_name_H-M_alt 'P m -3 m'
_space_group_IT_number 221
_space_group_name_Hall '-P 4 2 3'
_cell_length_a 5.9300
_cell_length_b 5.9300
_cell_length_c 5.9300
_cell_angle_alpha 90.00
_cell_angle_beta 90.00
_cell_angle_gamma 90.00
loop_
_atom_site_label
_atom_site_type_symbol
_atom_site_fract_x
_atom_site_fract_y
_atom_site_fract_z
Cs1 Cs 0.0000 0.0000 0.0000
Li1 Li 0.5000 0.5000 0.5000
La1 La 0.0000 0.5000 0.5000
```

## Properties
formation energy from the elements = 2.91 eV per formula unit
VASP energy = -2.93 eV/atom

***

4.
A plane-wave DFT calculation with GGA-PBE was carried out for a relaxed structure of PmSi2W.

Cell and atoms, written as CIF:
```
data_PmSi2W
_chemical_formula_sum 'Pm3 Si6 W3'
_space_group_name_H-M_alt 'R -3 m'
_space_group_IT_number 166
_space_group_name_Hall '-R 3 2"'
_cell_length_a 3.8497
_cell_length_b 3.8497
_cell_length_c 18.7289
_cell_angle_alpha 90.00
_cell_angle_beta 90.00
_cell_angle_gamma 120.00
loop_
_atom_site_label
_atom_site_type_symbol
_atom_site_fract_x
_atom_site_fract_y
_atom_site_fract_z
Pm1 Pm 0.0000 0.0000 0.0000
Si1 Si 0.0000 0.0000 0.2321
W1 W 0.0000 0.0000 0.5000
```

## Properties
energy relative to the elements, uncorrected = -0.150 eV/atom
VASP energy = -7.29 eV/atom
E above lowest polymorph = 57.4 meV per atom

***

5.
A plane-wave DFT calculation with GGA-PBE was carried out for a relaxed structure of Tl3NiBi2Se6.

Cell and atoms, written as CIF:
```
data_Tl3NiBi2Se6
_chemical_formula_sum 'Tl6 Ni2 Bi4 Se12'
_space_group_name_H-M_alt 'C 1 2/m 1'
_space_group_IT_number 12
_cell_length_a 7.2024
_cell_length_b 12.2099
_cell_length_c 7.9090
_cell_angle_alpha 90.00
_cell_angle_beta 106.80
_cell_angle_gamma 90.00
loop_
_space_group_symop_operation_xyz
'x,y,z'
'-x,-y,-z'
'-x,y,-z'
'x,-y,z'
'x+1/2,y+1/2,z'
'-x+1/2,-y+1/2,-z'
'-x+1/2,y+1/2,-z'
'x+1/2,-y+1/2,z'
loop_
_atom_site_label
_atom_site_type_symbol
_atom_site_fract_x
_atom_site_fract_y
_atom_site_fract_z
Tl1 Tl 0.0000 0.0000 0.0000
Tl2 Tl 0.0000 0.3197 0.0000
Ni1 Ni 0.0000 0.5000 0.5000
Bi1 Bi 0.0000 0.1648 0.5000
Se1 Se 0.2009 0.3585 0.6900
Se2 Se 0.2269 0.5000 0.2797
```

## Properties
energy relative to the elements, uncorrected = -0.320 eV/atom
VASP energy = -3.78 eV/atom

***

6.
A plane-wave DFT calculation with GGA-PBE was carried out for a relaxed structure of K2Na3TlO4.

Cell and atoms, written as CIF:
```
data_K2Na3TlO4
_chemical_formula_sum 'K8 Na12 Tl4 O16'
_space_group_name_H-M_alt 'P n n m'
_space_group_IT_number 58
_cell_length_a 9.3899
_cell_length_b 9.7280
_cell_length_c 7.7820
_cell_angle_alpha 90.00
_cell_angle_beta 90.00
_cell_angle_gamma 90.00
loop_
_space_group_symop_operation_xyz
'x,y,z'
'-x,-y,-z'
'-x,-y,z'
'x,y,-z'
'x+1/2,-y+1/2,-z+1/2'
'-x+1/2,y+1/2,z+1/2'
'-x+1/2,y+1/2,-z+1/2'
'x+1/2,-y+1/2,z+1/2'
loop_
_atom_site_label
_atom_site_type_symbol
_atom_site_fract_x
_atom_site_fract_y
_atom_site_fract_z
K1 K 0.0000 0.0000 0.2468
K2 K 0.2361 0.2502 0.5000
Na1 Na 0.0168 0.6506 0.2495
Na2 Na 0.2402 0.5847 0.5000
Tl1 Tl 0.2273 0.3789 0.0000
O1 O 0.0484 0.2224 0.0000
O2 O 0.0612 0.7764 0.5000
O3 O 0.1985 0.4840 0.2452
```

## Properties
energy relative to the elements, uncorrected = -1.186 eV/atom
VASP energy = -4.02 eV/atom

***

7.
A plane-wave DFT calculation with GGA-PBE was carried out for a relaxed structure of Ba2LiSnH.

Cell and atoms, written as CIF:
```
data_Ba2LiSnH
_chemical_formula_sum 'Ba4 Li2 Sn2 H2'
_space_group_name_H-M_alt 'P 1 21/m 1'
_space_group_IT_number 11
_cell_length_a 7.2868
_cell_length_b 4.9514
_cell_length_c 9.0317
_cell_angle_alpha 90.00
_cell_angle_beta 107.28
_cell_angle_gamma 90.00
loop_
_space_group_symop_operation_xyz
'x,y,z'
'-x,-y,-z'
'-x,y+1/2,-z'
'x,-y+1/2,z'
loop_
_atom_site_label
_atom_site_type_symbol
_atom_site_fract_x
_atom_site_fract_y
_atom_site_fract_z
Ba1 Ba 0.1974 0.2500 0.4119
Ba2 Ba 0.2308 0.2500 0.9487
Li1 Li 0.4280 0.7500 0.2511
Sn1 Sn 0.3544 0.7500 0.7073
H1 H 0.1619 0.7500 0.1577
```

## Properties
VASP energy = -3.11 eV/atom
E above lowest polymorph = 0.0 meV per atom

***

8.
A plane-wave DFT calculation with GGA-PBE was carried out for a relaxed structure of HOs3Br.

Cell and atoms, written as CIF:
```
data_HOs3Br
_chemical_formula_sum 'H1 Os3 Br1'
_space_group_name_H-M_alt 'P m -3 m'
_space_group_IT_number 221
_space_group_name_Hall '-P 4 2 3'
_cell_length_a 4.0114
_cell_length_b 4.0114
_cell_length_c 4.0114
_cell_angle_alpha 90.00
_cell_angle_beta 90.00
_cell_angle_gamma 90.00
loop_
_atom_site_label
_atom_site_type_symbol
_atom_site_fract_x
_atom_site_fract_y
_atom_site_fract_z
H1 H 0.0000 0.0000 0.0000
Os1 Os 0.0000 0.0000 0.5000
Br1 Br 0.5000 0.5000 0.5000
```

## Properties
VASP energy = -6.29 eV/atom
E above lowest polymorph = 0.0 meV per atom

***

9.
A plane-wave DFT calculation with GGA-PBE was carried out for a relaxed structure of MoPt2Br.

Cell and atoms, written as CIF:
```
data_MoPt2Br
_chemical_formula_sum 'Mo2 Pt4 Br2'
_space_group_name_H-M_alt 'I 4/m m m'
_space_group_IT_number 139
_space_group_name_Hall '-I 4 2'
_cell_length_a 4.0335
_cell_length_b 4.0335
_cell_length_c 8.3228
_cell_angle_alpha 90.00
_cell_angle_beta 90.00
_cell_angle_gamma 90.00
loop_
_atom_site_label
_atom_site_type_symbol
_atom_site_fract_x
_atom_site_fract_y
_atom_site_fract_z
Mo1 Mo 0.0000 0.0000 0.0000
Pt1 Pt 0.0000 0.5000 0.2500
Br1 Br 0.0000 0.0000 0.5000
```

## Properties
energy relative to the elements, uncorrected = 0.688 eV/atom
VASP energy = -5.46 eV/atom
E above lowest polymorph = 640.9 meV per atom

***

10.
A plane-wave DFT calculation with GGA-PBE was carried out for a relaxed structure of La8SmY3.

Cell and atoms, written as CIF:
```
data_La8SmY3
_chemical_formula_sum 'La16 Sm2 Y6'
_space_group_name_H-M_alt 'I m m m'
_space_group_IT_number 71
_space_group_name_Hall '-I 2 2'
_cell_length_a 6.8701
_cell_length_b 11.2683
_cell_length_c 11.7254
_cell_angle_alpha 90.00
_cell_angle_beta 90.00
_cell_angle_gamma 90.00
loop_
_atom_site_label
_atom_site_type_symbol
_atom_site_fract_x
_atom_site_fract_y
_atom_site_fract_z
La1 La 0.0000 0.1638 0.2486
La2 La 0.2215 0.2760 0.0000
Sm1 Sm 0.0000 0.0000 0.5000
Y1 Y 0.0000 0.0000 0.0000
Y2 Y 0.0000 0.5000 0.2387
```

## Properties
formation energy from the elements = 3.65 eV per formula unit
VASP energy = -4.99 eV/atom

***

11.
A plane-wave DFT calculation with GGA-PBE was carried out for a relaxed structure of BaPtW2.

Cell and atoms, written as CIF:
```
data_BaPtW2
_chemical_formula_sum 'Ba2 Pt2 W4'
_space_group_name_H-M_alt 'C 1 2/m 1'
_space_group_IT_number 12
_cell_length_a 5.7037
_cell_length_b 10.6795
_cell_length_c 2.8623
_cell_angle_alpha 90.00
_cell_angle_beta 111.52
_cell_angle_gamma 90.00
loop_
_space_group_symop_operation_xyz
'x,y,z'
'-x,-y,-z'
'-x,y,-z'
'x,-y,z'
'x+1/2,y+1/2,z'
'-x+1/2,-y+1/2,-z'
'-x+1/2,y+1/2,-z'
'x+1/2,-y+1/2,z'
loop_
_atom_site_label
_atom_site_type_symbol
_atom_site_fract_x
_atom_site_fract_y
_atom_site_fract_z
Ba1 Ba 0.0000 0.0000 0.0000
Pt1 Pt 0.0000 0.5000 0.0000
W1 W 0.2500 0.2500 0.5000
```

## Properties
formation energy from the elements = 4.51 eV per formula unit
VASP energy = -7.34 eV/atom
E above lowest polymorph = 700.4 meV per atom

***

12.
A plane-wave DFT calculation with GGA-PBE was carried out for a relaxed structure of DyY2Mg.

Cell and atoms, written as CIF:
```
data_DyY2Mg
_chemical_formula_sum 'Dy4 Y8 Mg4'
_space_group_name_H-M_alt 'F m -3 m'
_space_group_IT_number 225
_space_group_name_Hall '-F 4 2 3'
_cell_length_a 7.8020
_cell_length_b 7.8020
_cell_length_c 7.8020
_cell_angle_alpha 90.00
_cell_angle_beta 90.00
_cell_angle_gamma 90.00
loop_
_atom_site_label
_atom_site_type_symbol
_atom_site_fract_x
_atom_site_fract_y
_atom_site_fract_z
Dy1 Dy 0.0000 0.0000 0.0000
Y1 Y 0.2500 0.2500 0.2500
Mg1 Mg 0.0000 0.0000 0.5000
```

## Properties
formation energy from the elements = 0.21 eV per formula unit
VASP energy = -4.73 eV/atom
E above lowest polymorph = 86.4 meV per atom

***

Repeat the first record exactly.
A plane-wave DFT calculation with GGA-PBE was carried out for a relaxed structure of CsTe2Au2S6.

Cell and atoms, written as CIF:
```
data_CsTe2Au2S6
_chemical_formula_sum 'Cs1 Te2 Au2 S6'
_space_group_name_H-M_alt 'P -1'
_space_group_IT_number 2
_cell_length_a 6.2045
_cell_length_b 7.5737
_cell_length_c 8.4175
_cell_angle_alpha 84.15
_cell_angle_beta 84.05
_cell_angle_gamma 72.46
loop_
_space_group_symop_operation_xyz
'x,y,z'
'-x,-y,-z'
loop_
_atom_site_label
_atom_site_type_symbol
_atom_site_fract_x
_atom_site_fract_y
_atom_site_fract_z
Cs1 Cs 0.0000 0.0000 0.0000
Te1 Te 0.3071 0.3666 0.3593
Au1 Au 0.2226 0.4280 0.9058
S1 S 0.0981 0.5835 0.6621
S2 S 0.3737 0.6542 0.2824
S3 S 0.4105 0.2181 0.1092
```

## Properties
energy relative to the elements, uncorrected = -0.136 eV/atom
VASP energy = -3.63 eV/atom

***

Please write out number 1 again, unchanged.
A plane-wave DFT calculation with GGA-PBE was carried out for a relaxed structure of CsTe2Au2S6.

Cell and atoms, written as CIF:
```
data_CsTe2Au2S6
_chemical_formula_sum 'Cs1 Te2 Au2 S6'
_space_group_name_H-M_alt 'P -1'
_space_group_IT_number 2
_cell_length_a 6.2045
_cell_length_b 7.5737
_cell_length_c 8.4175
_cell_angle_alpha 84.15
_cell_angle_beta 84.05
_cell_angle_gamma 72.46
loop_
_space_group_symop_operation_xyz
'x,y,z'
'-x,-y,-z'
loop_
_atom_site_label
_atom_site_type_symbol
_atom_site_fract_x
_atom_site_fract_y
_atom_site_fract_z
Cs1 Cs 0.0000 0.0000 0.0000
Te1 Te 0.3071 0.3666 0.3593
Au1 Au 0.2226 0.4280 0.9058
S1 S 0.0981 0.5835 0.6621
S2 S 0.3737 0.6542 0.2824
S3 S 0.4105 0.2181 0.1092
```

## Properties
energy relative to the elements, uncorrected = -0.136 eV/atom
VASP energy = -3.63 eV/atom

***

Repeat the third record exactly.
A plane-wave DFT calculation with GGA-PBE was carried out for a relaxed structure of CsLiLa3.

Cell and atoms, written as CIF:
```
data_CsLiLa3
_chemical_formula_sum 'Cs1 Li1 La3'
_space_group_name_H-M_alt 'P m -3 m'
_space_group_IT_number 221
_space_group_name_Hall '-P 4 2 3'
_cell_length_a 5.9300
_cell_length_b 5.9300
_cell_length_c 5.9300
_cell_angle_alpha 90.00
_cell_angle_beta 90.00
_cell_angle_gamma 90.00
loop_
_atom_site_label
_atom_site_type_symbol
_atom_site_fract_x
_atom_site_fract_y
_atom_site_fract_z
Cs1 Cs 0.0000 0.0000 0.0000
Li1 Li 0.5000 0.5000 0.5000
La1 La 0.0000 0.5000 0.5000
```

## Properties
formation energy from the elements = 2.91 eV per formula unit
VASP energy = -2.93 eV/atom